1.
Entry from Alexandria via LeMat-Bulk: a relaxed RbLaTaZn2 crystal (PBE).

Computed properties:
size of the total moment	0.42	μB per cell
energy of formation from the pure elements	1.175	eV/atom
SG	P4/mmm (123)
E	-2.88	eV per atom

Lattice parameters (Å, degrees): 5.9736 5.2315 5.9736 90.00 90.00 90.00
Last column: nearest neighbours and their distance in Å.
Fractional coordinates of all 5 atoms:
Zn: 0.0000 0.0000 0.5000  2 La 2.99
Zn: 0.5000 0.0000 0.0000  2 La 2.99
La: 0.0000 0.0000 0.0000  2 Ta 2.62
Rb: 0.5000 0.5000 0.5000  8 Zn 3.97, 4 Ta 4.22
Ta: 0.0000 0.5000 0.0000  2 La 2.62

***

2.
Entry from Alexandria via LeMat-Bulk: a relaxed Rb2LaTbTe4 crystal (PBE).

Computed properties:
ΔE_f (raw)	-1.437	eV/atom
size of the total moment	0.00	μB per cell
SG	P2/m (10)
E	-4.44	eV per atom

Lattice parameters (Å, degrees): 4.6435 8.0458 8.9593 107.37 90.00 90.00
Last column: nearest neighbours and their distance in Å.
Fractional coordinates of all 8 atoms:
Rb: 0.5000 0.0000 0.5000  6 Te 3.65-3.66
Rb: 0.0000 0.5000 0.5000  6 Te 3.73-3.74
La: 0.5000 0.5000 0.0000  6 Te 3.24-3.25
Tb: 0.0000 0.0000 0.0000  6 Te 3.14-3.16
Te: 0.5000 0.2247 0.2010  2 Tb 3.16, 1 La 3.25
Te: 0.5000 0.7753 0.7990  2 Tb 3.16, 1 La 3.25
Te: 0.0000 0.2556 0.7951  1 Tb 3.14, 2 La 3.24
Te: 0.0000 0.7444 0.2049  1 Tb 3.14, 2 La 3.24

***

Question: Which formula does entry 2 have?
Answer: Rb2LaTbTe4